Entry 1:
The following is a DFT calculation (PBE) of MnP2S2 after structural relaxation.

Summary:
As for the raw formation energy: 12.2 kcal/mol of atoms. As for the relative energy among the computed polymorphs: 0.00 eV per formula unit. Its space group is P4/mmm. The density of states at the Fermi level comes out at 2.4 states/eV/f.u.

CIF file:
```
data_MnP2S2
_cell_length_a 4.4986
_cell_length_b 4.4986
_cell_length_c 4.1219
_cell_angle_alpha 90.00
_cell_angle_beta 90.00
_cell_angle_gamma 90.00
_symmetry_space_group_name_H-M 'P 1'
_symmetry_Int_Tables_number 1
_symmetry_space_group_name_Hall 'P 1'
loop_
_atom_site_label
_atom_site_type_symbol
_atom_site_fract_x
_atom_site_fract_y
_atom_site_fract_z
_atom_site_occupancy
P1 P 0.0000 0.5000 0.0000 1
P2 P 0.5000 0.0000 0.0000 1
S1 S 0.5000 0.5000 0.5000 1
S2 S 0.0000 0.0000 0.5000 1
Mn1 Mn 0.0000 0.0000 0.0000 1
```


Entry 2:
The following is a DFT calculation (PBE) of SrAc2LaCo after structural relaxation.

Summary:
Its total energy is -4.390 eV/atom. Its space group is P4/mmm. The density of states at the Fermi level comes out at 6.1 states/eV/f.u.

CIF file:
```
data_SrAc2LaCo
_cell_length_a 5.5289
_cell_length_b 5.9064
_cell_length_c 5.9064
_cell_angle_alpha 90.00
_cell_angle_beta 90.00
_cell_angle_gamma 90.00
_symmetry_space_group_name_H-M 'P 1'
_symmetry_Int_Tables_number 1
_symmetry_space_group_name_Hall 'P 1'
loop_
_atom_site_label
_atom_site_type_symbol
_atom_site_fract_x
_atom_site_fract_y
_atom_site_fract_z
_atom_site_occupancy
Co1 Co 0.0000 0.0000 0.0000 1
Sr1 Sr 0.5000 0.5000 0.5000 1
Ac1 Ac 0.0000 0.5000 0.0000 1
Ac2 Ac 0.0000 0.0000 0.5000 1
La1 La 0.5000 0.0000 0.0000 1
```


Entry 3:
The following is a DFT calculation (PBE) of Al2CuGe2 after structural relaxation.

Summary:
Its total energy is -3.961 eV/atom. Its space group is P4/mbm. The density of states at the Fermi level comes out at 1.6 states/eV/f.u.

CIF file:
```
data_Al2CuGe2
_cell_length_a 6.6575
_cell_length_b 6.6575
_cell_length_c 3.9544
_cell_angle_alpha 90.00
_cell_angle_beta 90.00
_cell_angle_gamma 90.00
_symmetry_space_group_name_H-M 'P 1'
_symmetry_Int_Tables_number 1
_symmetry_space_group_name_Hall 'P 1'
loop_
_atom_site_label
_atom_site_type_symbol
_atom_site_fract_x
_atom_site_fract_y
_atom_site_fract_z
_atom_site_occupancy
Cu1 Cu 0.0000 0.0000 0.0000 1
Cu2 Cu 0.5000 0.5000 0.0000 1
Ge1 Ge 0.8424 0.3424 0.5000 1
Ge2 Ge 0.1576 0.6576 0.5000 1
Ge3 Ge 0.6576 0.8424 0.5000 1
Ge4 Ge 0.3424 0.1576 0.5000 1
Al1 Al 0.8527 0.6473 0.0000 1
Al2 Al 0.3527 0.8527 0.0000 1
Al3 Al 0.1473 0.3527 0.0000 1
Al4 Al 0.6473 0.1473 0.0000 1
```


Entry 4:
The following is a DFT calculation (PBE) of YMg4Hg5 after structural relaxation.

Summary:
Its total energy is -1.725 eV/atom. Its space group is P4/mmm. The density of states at the Fermi level comes out at 4.4 states/eV/f.u.

CIF file:
```
data_YMg4Hg5
_cell_length_a 3.5903
_cell_length_b 3.5903
_cell_length_c 17.2469
_cell_angle_alpha 90.00
_cell_angle_beta 90.00
_cell_angle_gamma 90.00
_symmetry_space_group_name_H-M 'P 1'
_symmetry_Int_Tables_number 1
_symmetry_space_group_name_Hall 'P 1'
loop_
_atom_site_label
_atom_site_type_symbol
_atom_site_fract_x
_atom_site_fract_y
_atom_site_fract_z
_atom_site_occupancy
Mg1 Mg 0.0000 0.0000 0.4032 1
Mg2 Mg 0.0000 0.0000 0.2095 1
Mg3 Mg 0.0000 0.0000 0.5968 1
Mg4 Mg 0.0000 0.0000 0.7905 1
Hg1 Hg 0.5000 0.5000 0.3060 1
Hg2 Hg 0.5000 0.5000 0.8878 1
Hg3 Hg 0.5000 0.5000 0.1122 1
Hg4 Hg 0.5000 0.5000 0.5000 1
Hg5 Hg 0.5000 0.5000 0.6940 1
Y1 Y 0.0000 0.0000 0.0000 1
```


Entry 5:
The following is a DFT calculation (PBE) of BaPb6 after structural relaxation.

Summary:
As for the relative energy among the computed polymorphs: 2.29 eV per formula unit. Its space group is Im-3m. The density of states at the Fermi level comes out at 5.0 states/eV/f.u.

CIF file:
```
data_BaPb6
_cell_length_a 7.4564
_cell_length_b 7.4564
_cell_length_c 7.4564
_cell_angle_alpha 109.47
_cell_angle_beta 109.47
_cell_angle_gamma 109.47
_symmetry_space_group_name_H-M 'P 1'
_symmetry_Int_Tables_number 1
_symmetry_space_group_name_Hall 'P 1'
loop_
_atom_site_label
_atom_site_type_symbol
_atom_site_fract_x
_atom_site_fract_y
_atom_site_fract_z
_atom_site_occupancy
Ba1 Ba 0.0000 0.0000 0.0000 1
Pb1 Pb 0.5000 0.2500 0.7500 1
Pb2 Pb 0.7500 0.5000 0.2500 1
Pb3 Pb 0.2500 0.5000 0.7500 1
Pb4 Pb 0.7500 0.2500 0.5000 1
Pb5 Pb 0.2500 0.7500 0.5000 1
Pb6 Pb 0.5000 0.7500 0.2500 1
```


Entry 6:
The following is a DFT calculation (PBE) of Mg2Ti after structural relaxation.

Summary:
Its total energy is -3.471 eV/atom. Its space group is Cmcm. The density of states at the Fermi level comes out at 2.6 states/eV/f.u.

CIF file:
```
data_Mg2Ti
_cell_length_a 5.4878
_cell_length_b 5.4878
_cell_length_c 4.8882
_cell_angle_alpha 90.00
_cell_angle_beta 90.00
_cell_angle_gamma 121.74
_symmetry_space_group_name_H-M 'P 1'
_symmetry_Int_Tables_number 1
_symmetry_space_group_name_Hall 'P 1'
loop_
_atom_site_label
_atom_site_type_symbol
_atom_site_fract_x
_atom_site_fract_y
_atom_site_fract_z
_atom_site_occupancy
Mg1 Mg 0.5018 0.1690 0.7500 1
Mg2 Mg 0.4982 0.8310 0.2500 1
Mg3 Mg 0.1690 0.5018 0.7500 1
Mg4 Mg 0.8310 0.4982 0.2500 1
Ti1 Ti 0.8553 0.8553 0.7500 1
Ti2 Ti 0.1447 0.1447 0.2500 1
```


Entry 7:
The following is a DFT calculation (PBE) of NaAc2ScTe5 after structural relaxation.

Summary:
As for the raw formation energy: -30.5 kcal/mol of atoms. Its space group is Cmc2_1.

CIF file:
```
data_NaAc2ScTe5
_cell_length_a 4.5699
_cell_length_b 9.7859
_cell_length_c 13.8724
_cell_angle_alpha 90.00
_cell_angle_beta 90.00
_cell_angle_gamma 103.50
_symmetry_space_group_name_H-M 'P 1'
_symmetry_Int_Tables_number 1
_symmetry_space_group_name_Hall 'P 1'
loop_
_atom_site_label
_atom_site_type_symbol
_atom_site_fract_x
_atom_site_fract_y
_atom_site_fract_z
_atom_site_occupancy
Te1 Te 0.4911 0.9823 0.7682 1
Te2 Te 0.7226 0.4451 0.1550 1
Te3 Te 0.6419 0.2837 0.4983 1
Te4 Te 0.5089 0.0177 0.2682 1
Te5 Te 0.3109 0.6219 0.3626 1
Te6 Te 0.0627 0.1255 0.0774 1
Te7 Te 0.6891 0.3781 0.8626 1
Te8 Te 0.2774 0.5549 0.6550 1
Te9 Te 0.9373 0.8745 0.5774 1
Te10 Te 0.3581 0.7163 0.9983 1
Na1 Na 0.5303 0.0606 0.9655 1
Na2 Na 0.4697 0.9394 0.4655 1
Ac1 Ac 0.8965 0.7930 0.1854 1
Ac2 Ac 0.1370 0.2740 0.3002 1
Ac3 Ac 0.1035 0.2070 0.6854 1
Ac4 Ac 0.8630 0.7260 0.8002 1
Sc1 Sc 0.8000 0.6000 0.5114 1
Sc2 Sc 0.2000 0.4000 0.0114 1
```


Entry 8:
The following is a DFT calculation (PBE) of CdReAs4 after structural relaxation.

Summary:
Its total energy is -4.346 eV/atom. Its space group is F-43m. The density of states at the Fermi level comes out at 4.9 states/eV/f.u.

CIF file:
```
data_CdReAs4
_cell_length_a 5.4662
_cell_length_b 5.4662
_cell_length_c 5.4662
_cell_angle_alpha 60.00
_cell_angle_beta 60.00
_cell_angle_gamma 60.00
_symmetry_space_group_name_H-M 'P 1'
_symmetry_Int_Tables_number 1
_symmetry_space_group_name_Hall 'P 1'
loop_
_atom_site_label
_atom_site_type_symbol
_atom_site_fract_x
_atom_site_fract_y
_atom_site_fract_z
_atom_site_occupancy
As1 As 0.8776 0.3741 0.3741 1
As2 As 0.3741 0.3741 0.3741 1
As3 As 0.3741 0.3741 0.8776 1
As4 As 0.3741 0.8776 0.3741 1
Re1 Re 0.0000 0.0000 0.0000 1
Cd1 Cd 0.7500 0.7500 0.7500 1
```


Entry 9:
The following is a DFT calculation (PBE) of HfIn2S4 after structural relaxation.

Summary:
As for the raw formation energy: -13.5 kcal/mol of atoms. Its space group is I4/mmm. The density of states at the Fermi level comes out at 2.3 states/eV/f.u.

CIF file:
```
data_HfIn2S4
_cell_length_a 5.0357
_cell_length_b 5.0357
_cell_length_c 7.6555
_cell_angle_alpha 70.80
_cell_angle_beta 70.80
_cell_angle_gamma 90.00
_symmetry_space_group_name_H-M 'P 1'
_symmetry_Int_Tables_number 1
_symmetry_space_group_name_Hall 'P 1'
loop_
_atom_site_label
_atom_site_type_symbol
_atom_site_fract_x
_atom_site_fract_y
_atom_site_fract_z
_atom_site_occupancy
S1 S 0.8188 0.8188 0.3625 1
S2 S 0.0000 0.5000 0.0000 1
S3 S 0.1812 0.1812 0.6375 1
S4 S 0.5000 0.0000 0.0000 1
In1 In 0.3679 0.3679 0.2641 1
In2 In 0.6321 0.6321 0.7359 1
Hf1 Hf 0.0000 0.0000 0.0000 1
```


Entry 10:
The following is a DFT calculation (PBE) of MnAsIrSe2 after structural relaxation.

Summary:
As for the raw formation energy: 27.0 kcal/mol of atoms. As for the relative energy among the computed polymorphs: 1.61 eV per formula unit. Its space group is P4/mmm. The density of states at the Fermi level comes out at 6.5 states/eV/f.u.

CIF file:
```
data_MnAsIrSe2
_cell_length_a 5.0531
_cell_length_b 5.0531
_cell_length_c 4.5725
_cell_angle_alpha 90.00
_cell_angle_beta 90.00
_cell_angle_gamma 90.00
_symmetry_space_group_name_H-M 'P 1'
_symmetry_Int_Tables_number 1
_symmetry_space_group_name_Hall 'P 1'
loop_
_atom_site_label
_atom_site_type_symbol
_atom_site_fract_x
_atom_site_fract_y
_atom_site_fract_z
_atom_site_occupancy
Ir1 Ir 0.0000 0.0000 0.0000 1
Se1 Se 0.5000 0.0000 0.0000 1
Se2 Se 0.0000 0.5000 0.0000 1
Mn1 Mn 0.5000 0.5000 0.5000 1
As1 As 0.0000 0.0000 0.5000 1
```


Entry 11:
The following is a DFT calculation (PBE) of SrCdGe2Au5 after structural relaxation.

Summary:
Its total energy is -3.342 eV/atom. Its space group is P4/mmm. The density of states at the Fermi level comes out at 3.3 states/eV/f.u.

CIF file:
```
data_SrCdGe2Au5
_cell_length_a 4.7456
_cell_length_b 4.7456
_cell_length_c 9.8425
_cell_angle_alpha 90.00
_cell_angle_beta 90.00
_cell_angle_gamma 90.00
_symmetry_space_group_name_H-M 'P 1'
_symmetry_Int_Tables_number 1
_symmetry_space_group_name_Hall 'P 1'
loop_
_atom_site_label
_atom_site_type_symbol
_atom_site_fract_x
_atom_site_fract_y
_atom_site_fract_z
_atom_site_occupancy
Au1 Au 0.0000 0.5000 0.8364 1
Au2 Au 0.5000 0.5000 0.5000 1
Au3 Au 0.0000 0.5000 0.1636 1
Au4 Au 0.5000 0.0000 0.1636 1
Au5 Au 0.5000 0.0000 0.8364 1
Sr1 Sr 0.0000 0.0000 0.5000 1
Cd1 Cd 0.0000 0.0000 0.0000 1
Ge1 Ge 0.5000 0.5000 0.2506 1
Ge2 Ge 0.5000 0.5000 0.7494 1
```


Entry 12:
The following is a DFT calculation (PBE) of Na2SrSn2Au2 after structural relaxation.

Summary:
Its total energy is -3.156 eV/atom. Its space group is R-3m. The density of states at the Fermi level comes out at 5.5 states/eV/f.u.

CIF file:
```
data_Na2SrSn2Au2
_cell_length_a 4.7741
_cell_length_b 4.7741
_cell_length_c 10.1984
_cell_angle_alpha 76.46
_cell_angle_beta 76.46
_cell_angle_gamma 60.00
_symmetry_space_group_name_H-M 'P 1'
_symmetry_Int_Tables_number 1
_symmetry_space_group_name_Hall 'P 1'
loop_
_atom_site_label
_atom_site_type_symbol
_atom_site_fract_x
_atom_site_fract_y
_atom_site_fract_z
_atom_site_occupancy
Sn1 Sn 0.2551 0.2551 0.2346 1
Sn2 Sn 0.7449 0.7449 0.7654 1
Au1 Au 0.4065 0.4065 0.7806 1
Au2 Au 0.5935 0.5935 0.2194 1
Na1 Na 0.8653 0.8653 0.4040 1
Na2 Na 0.1347 0.1347 0.5960 1
Sr1 Sr 0.0000 0.0000 0.0000 1
```


Copy entry 3 word for word.
The following is a DFT calculation (PBE) of Al2CuGe2 after structural relaxation.

Summary:
Its total energy is -3.961 eV/atom. Its space group is P4/mbm. The density of states at the Fermi level comes out at 1.6 states/eV/f.u.

CIF file:
```
data_Al2CuGe2
_cell_length_a 6.6575
_cell_length_b 6.6575
_cell_length_c 3.9544
_cell_angle_alpha 90.00
_cell_angle_beta 90.00
_cell_angle_gamma 90.00
_symmetry_space_group_name_H-M 'P 1'
_symmetry_Int_Tables_number 1
_symmetry_space_group_name_Hall 'P 1'
loop_
_atom_site_label
_atom_site_type_symbol
_atom_site_fract_x
_atom_site_fract_y
_atom_site_fract_z
_atom_site_occupancy
Cu1 Cu 0.0000 0.0000 0.0000 1
Cu2 Cu 0.5000 0.5000 0.0000 1
Ge1 Ge 0.8424 0.3424 0.5000 1
Ge2 Ge 0.1576 0.6576 0.5000 1
Ge3 Ge 0.6576 0.8424 0.5000 1
Ge4 Ge 0.3424 0.1576 0.5000 1
Al1 Al 0.8527 0.6473 0.0000 1
Al2 Al 0.3527 0.8527 0.0000 1
Al3 Al 0.1473 0.3527 0.0000 1
Al4 Al 0.6473 0.1473 0.0000 1
```